The following is a GGA-PBE calculation of TbDyNiRh after structural relaxation, from the Alexandria database.

Output
DOS(E_F)   2.62 states/eV/f.u.
Symmetry   Amm2 (38)
Raw total energy   -24.95 eV/cell
DFT formation energy   -645 meV/atom

Cell and atoms, written as CIF:
```
data_TbDyNiRh
_chemical_formula_sum 'Tb1 Dy1 Ni1 Rh1'
_space_group_name_H-M_alt 'P 1'
_space_group_IT_number 1
_cell_length_a 3.813
_cell_length_b 4.136
_cell_length_c 5.617
_cell_angle_alpha 90.00
_cell_angle_beta 109.85
_cell_angle_gamma 90.00
loop_
_space_group_symop_operation_xyz
'x,y,z'
loop_
_atom_site_label
_atom_site_type_symbol
_atom_site_fract_x
_atom_site_fract_y
_atom_site_fract_z
Tb1 Tb 0.141 0.000 0.282
Dy1 Dy 0.859 0.500 0.718
Ni1 Ni 0.579 0.500 0.157
Rh1 Rh 0.421 0.000 0.842
```